Record 1
## KMoBr2 (PBE-GGA)

Data for a geometry-optimized KMoBr2 structure.

ΔE to the lowest computed polymorph: 0.41 eV per formula unit
M_tot: 9.8 μB per cell
E: -31.38 eV for the cell shown
formation energy without anion corrections: -0.103 eV/atom
DOS at the Fermi energy: 0.8 states/eV/f.u.

Lattice parameters (Å, degrees): 4.4965 6.8676 8.4382 90.00 90.00 90.00
With the nearest neighbours (Å) after each atom.
Space group Immm (No. 71)
Unique sites:
K 0.0000 0.0000 0.0000 x2  4 Br 3.33
Mo 0.0000 0.0000 0.5000 x2  4 Br 2.86
Br 0.0000 0.5000 0.2089 x4  2 Mo 2.86



Record 2
## KMoBr2 (PBE-GGA)

Data for a geometry-optimized KMoBr2 structure.

ΔE to the lowest computed polymorph: 2.28 eV per formula unit
M_tot: 0.0 μB per cell
E: -55.24 eV for the cell shown
formation energy without anion corrections: 0.366 eV/atom
DOS at the Fermi energy: 7.0 states/eV/f.u.

Lattice parameters (Å, degrees): 7.1069 7.1069 7.1069 90.00 90.00 90.00
With the nearest neighbours (Å) after each atom.
Space group Fm-3m (No. 225)
Unique sites:
K 0.0000 0.0000 0.0000 x4  8 Br 3.08
Mo 0.0000 0.0000 0.5000 x4  8 Br 3.08
Br 0.2500 0.2500 0.2500 x8  4 Mo 3.08, 4 K 3.08